Entry 1:
An optimized crystal structure of Cs2SrOsBr6. Source: Alexandria via LeMat-Bulk, functional PBE-GGA.

Cell lengths 7.8725, 7.8725, 7.8725 Å; angles 60.00, 60.00, 60.00 degrees
Closest atoms and distances in Å follow each position.
Sites, in units of the cell vectors:
Cs  0.2500  0.2500  0.2500  12 Br 3.94
Cs  0.7500  0.7500  0.7500  12 Br 3.94
Sr  0.0000  0.0000  0.0000  6 Br 3.01
Os  0.5000  0.5000  0.5000  6 Br 2.56
Br  0.2701  0.2701  0.7299  1 Os 2.56
Br  0.2701  0.7299  0.2701  1 Os 2.56
Br  0.2701  0.7299  0.7299  1 Os 2.56
Br  0.7299  0.2701  0.2701  1 Os 2.56
Br  0.7299  0.2701  0.7299  1 Os 2.56
Br  0.7299  0.7299  0.2701  1 Os 2.56

Entry 2:
An optimized crystal structure of CsTiOs2Br. Source: Alexandria via LeMat-Bulk, functional PBE-GGA.

Cell lengths 5.0669, 5.0669, 5.4254 Å; angles 90.00, 90.00, 90.00 degrees
Closest atoms and distances in Å follow each position.
Sites, in units of the cell vectors:
Cs  0.0000  0.0000  0.0000  4 Os 2.53, 2 Ti 2.71
Ti  0.0000  0.0000  0.5000  2 Cs 2.71
Os  0.0000  0.5000  0.0000  2 Cs 2.53
Os  0.5000  0.0000  0.0000  2 Cs 2.53
Br  0.5000  0.5000  0.5000  4 Ti 3.58, 8 Os 3.71

Entry 3:
An optimized crystal structure of Cs2YOsBr6. Source: Alexandria via LeMat-Bulk, functional PBE-GGA.

Cell lengths 7.7290, 7.7290, 7.7290 Å; angles 60.00, 60.00, 60.00 degrees
Closest atoms and distances in Å follow each position.
Sites, in units of the cell vectors:
Cs  0.2500  0.2500  0.2500  12 Br 3.87
Cs  0.7500  0.7500  0.7500  12 Br 3.87
Y  0.0000  0.0000  0.0000  6 Br 2.83
Os  0.5000  0.5000  0.5000  6 Br 2.64
Br  0.2587  0.2587  0.7413  1 Os 2.64, 1 Y 2.83
Br  0.2587  0.7413  0.2587  1 Os 2.64, 1 Y 2.83
Br  0.2587  0.7413  0.7413  1 Os 2.64, 1 Y 2.83
Br  0.7413  0.2587  0.2587  1 Os 2.64, 1 Y 2.83
Br  0.7413  0.2587  0.7413  1 Os 2.64, 1 Y 2.83
Br  0.7413  0.7413  0.2587  1 Os 2.64, 1 Y 2.83

Entry 4:
An optimized crystal structure of Cs2ZrOsBr6. Source: Alexandria via LeMat-Bulk, functional PBE-GGA.

Cell lengths 7.6404, 7.6404, 7.6404 Å; angles 119.92, 119.92, 90.13 degrees
Closest atoms and distances in Å follow each position.
Sites, in units of the cell vectors:
Cs  0.2500  0.7500  0.5000  12 Br 3.82
Cs  0.7500  0.2500  0.5000  12 Br 3.82
Zr  0.0000  0.0000  0.0000  6 Br 2.73-2.74
Os  0.5000  0.5000  0.0000  6 Br 2.66-2.67
Br  0.2532  0.2532  0.0000  1 Os 2.66, 1 Zr 2.73
Br  0.2529  0.2529  0.5058  1 Os 2.67, 1 Zr 2.74
Br  0.2529  0.7471  0.0000  1 Os 2.67, 1 Zr 2.74
Br  0.7471  0.2529  0.0000  1 Os 2.67, 1 Zr 2.74
Br  0.7468  0.7468  0.0000  1 Os 2.66, 1 Zr 2.73
Br  0.7471  0.7471  0.4942  1 Os 2.67, 1 Zr 2.74

Entry 5:
An optimized crystal structure of CsZrOs2Br. Source: Alexandria via LeMat-Bulk, functional PBE-GGA.

Cell lengths 4.8224, 4.8224, 5.0842 Å; angles 90.00, 90.00, 90.00 degrees
Closest atoms and distances in Å follow each position.
Sites, in units of the cell vectors:
Cs  0.0000  0.0000  0.0000  4 Zr 3.41, 8 Os 3.50
Zr  0.5000  0.5000  0.0000  2 Br 2.54
Os  0.0000  0.5000  0.5000  2 Br 2.41
Os  0.5000  0.0000  0.5000  2 Br 2.41
Br  0.5000  0.5000  0.5000  4 Os 2.41, 2 Zr 2.54

Entry 6:
An optimized crystal structure of Cs2PBr5. Source: Alexandria via LeMat-Bulk, functional PBE-GGA.

Cell lengths 8.1843, 8.1843, 9.9692 Å; angles 90.00, 90.00, 90.00 degrees
Closest atoms and distances in Å follow each position.
Sites, in units of the cell vectors:
Cs  0.0000  0.5000  0.0000  10 Br 3.83-4.09
Cs  0.0000  0.5000  0.5000  10 Br 3.83-4.09
Cs  0.5000  0.0000  0.0000  10 Br 3.83-4.09
Cs  0.5000  0.0000  0.5000  10 Br 3.83-4.09
P  0.0000  0.0000  0.2695  1 Br 2.28
P  0.5000  0.5000  0.7695  1 Br 2.28
Br  0.0000  0.0000  0.4984  1 P 2.28
Br  0.2246  0.2246  0.2498  1 P 2.61
Br  0.2246  0.7754  0.2498  1 P 2.61
Br  0.2754  0.2754  0.7498  1 P 2.61
Br  0.2754  0.7246  0.7498  1 P 2.61
Br  0.5000  0.5000  0.9984  1 P 2.28
Br  0.7246  0.2754  0.7498  1 P 2.61
Br  0.7246  0.7246  0.7498  1 P 2.61
Br  0.7754  0.2246  0.2498  1 P 2.61
Br  0.7754  0.7754  0.2498  1 P 2.61

no.,total magnetization (μB/atom),E_form (uncorrected) (meV/atom),density of states at the Fermi level (states/eV per cell)
1,0.000,-1171,0.0
2,0.282,3177,5.3
3,0.100,-1030,3.5
4,0.200,-785,2.0
5,0.000,1930,6.2
6,0.000,-1069,0.0